[1]
A relaxed EuPuRu2 crystal, computed with PBE.

Unit cell a=3.4002 b=4.8291 c=4.8291 alpha=90.00 beta=90.00 gamma=90.00
With the nearest neighbours (Å) after each atom.
Atoms (fractional coordinates):
Ru: 0.0000 0.5000 0.0000  4 Pu 2.95, 4 Eu 2.95
Ru: 0.0000 0.0000 0.5000  4 Pu 2.95, 4 Eu 2.95
Eu: 0.5000 0.5000 0.5000  8 Ru 2.95
Pu: 0.5000 0.0000 0.0000  8 Ru 2.95

Values from the calculation:
energy relative to the elements	0.1169	eV/atom
energy relative to the lowest polymorph listed for this composition	0.655	eV/f.u.
volume	79.29	Å³/cell


[2]
A relaxed NaMgCdAu crystal, computed with PBE.

Unit cell a=4.8556 b=4.8556 c=4.8556 alpha=60.00 beta=60.00 gamma=60.00
With the nearest neighbours (Å) after each atom.
Atoms (fractional coordinates):
Na: 0.5000 0.5000 0.5000  4 Mg 2.97, 4 Cd 2.97
Au: 0.0000 0.0000 0.0000  4 Cd 2.97, 4 Mg 2.97
Mg: 0.2500 0.2500 0.2500  4 Na 2.97, 4 Au 2.97
Cd: 0.7500 0.7500 0.7500  4 Na 2.97, 4 Au 2.97

Values from the calculation:
energy relative to the elements	-0.2551	eV/atom
volume	80.95	Å³/cell


[3]
A relaxed DyHgPd crystal, computed with PBE.

Unit cell a=3.7186 b=3.7186 c=5.3343 alpha=110.40 beta=110.40 gamma=90.00
With the nearest neighbours (Å) after each atom.
Atoms (fractional coordinates):
Hg: 0.6194 0.6194 0.2387  5 Dy 3.00-3.10, 5 Pd 3.06-3.08
Pd: 0.2880 0.2880 0.5760  5 Dy 3.00-3.21, 5 Hg 3.06-3.08
Dy: 0.9426 0.9426 0.8853  5 Pd 3.00-3.21, 5 Hg 3.00-3.10

Values from the calculation:
energy relative to the elements	-0.6870	eV/atom
volume	64.18	Å³/cell


[4]
A relaxed UIn2Cl4 crystal, computed with PBE.

Unit cell a=5.4791 b=5.4791 c=8.8791 alpha=72.03 beta=72.03 gamma=90.00
With the nearest neighbours (Å) after each atom.
Atoms (fractional coordinates):
In: 0.3598 0.3598 0.2805  1 Cl 3.01
In: 0.6402 0.6402 0.7195  1 Cl 3.01
Cl: 0.5000 0.0000 0.0000  2 U 2.74
Cl: 0.8284 0.8284 0.3432  1 U 2.74, 1 In 3.01
Cl: 0.0000 0.5000 0.0000  2 U 2.74
Cl: 0.1716 0.1716 0.6568  1 U 2.74, 1 In 3.01
U: 0.0000 0.0000 0.0000  6 Cl 2.74

Values from the calculation:
volume	239.84	Å³/cell
energy relative to the elements, uncorrected	-20.90	kcal/mol of atoms


[5]
A relaxed TmSc2In2Ag2 crystal, computed with PBE.

Unit cell a=4.7421 b=4.7421 c=8.6717 alpha=74.13 beta=74.13 gamma=60.00
With the nearest neighbours (Å) after each atom.
Atoms (fractional coordinates):
Ag: 0.4354 0.4354 0.6939  3 In 2.84, 3 Sc 2.85
Ag: 0.5646 0.5646 0.3061  3 In 2.84, 3 Sc 2.85
Sc: 0.1346 0.1346 0.5961  3 Ag 2.85, 4 In 3.14-3.15, 3 Sc 3.16
Sc: 0.8654 0.8654 0.4039  3 Ag 2.85, 4 In 3.14-3.15, 3 Sc 3.16
In: 0.7383 0.7383 0.7852  3 Ag 2.84, 4 Sc 3.14-3.15
In: 0.2617 0.2617 0.2148  3 Ag 2.84, 4 Sc 3.14-3.15
Tm: 0.0000 0.0000 0.0000  6 In 3.26, 2 Sc 3.32

Values from the calculation:
energy relative to the elements	-0.2359	eV/atom
volume	160.24	Å³/cell


[6]
A relaxed K2LiP crystal, computed with PBE.

Unit cell a=3.7058 b=3.7058 c=9.6869 alpha=90.00 beta=90.00 gamma=90.00
With the nearest neighbours (Å) after each atom.
Atoms (fractional coordinates):
P: 0.5000 0.5000 0.6631  4 Li 2.68
Li: 0.0000 0.0000 0.6068  4 P 2.68, 1 K 2.84
K: 0.5000 0.5000 0.3303  1 P 3.22
K: 0.0000 0.0000 0.9000  1 Li 2.84

Values from the calculation:
energy relative to the elements	-0.0848	eV/atom
volume	133.03	Å³/cell


[7]
A relaxed NaThSb2 crystal, computed with PBE.

Unit cell a=4.1171 b=5.2000 c=5.2000 alpha=90.00 beta=90.00 gamma=90.00
With the nearest neighbours (Å) after each atom.
Atoms (fractional coordinates):
Sb: 0.0000 0.0000 0.5000  4 Th 3.32, 4 Na 3.32, 4 Sb 3.68
Sb: 0.0000 0.5000 0.0000  4 Th 3.32, 4 Na 3.32, 4 Sb 3.68
Na: 0.5000 0.0000 0.0000  8 Sb 3.32, 4 Th 3.68
Th: 0.5000 0.5000 0.5000  8 Sb 3.32, 4 Na 3.68

Values from the calculation:
energy relative to the lowest polymorph listed for this composition	0.000	eV/f.u.
volume	111.32	Å³/cell
energy relative to the elements, uncorrected	-12.99	kcal/mol of atoms